Here is a geometry-optimized ZnTeO3 structure from Alexandria. Energies are from GGA-PBE.

Lattice parameters (Å, degrees): 3.350 5.630 10.183 111.67 90.00 107.31
Fractional coordinates of all 10 atoms:
Zn: 0.617 0.234 0.930
Zn: 0.383 0.766 0.070
Te: 0.817 0.634 0.716
Te: 0.183 0.366 0.284
O: 0.361 0.722 0.630
O: 0.639 0.278 0.370
O: 0.795 0.590 0.910
O: 0.205 0.410 0.090
O: 0.007 0.015 0.833
O: 0.993 0.985 0.167

Summary:
uncorrected energy: -0.355 Ry/atom
M_tot: 0.0 μB/f.u.
V: 84.6 Å³/f.u.
symmetry: No. 12
formation energy (no corrections): -4.893 eV/f.u.



Here is a geometry-optimized HfBe10Rh structure from Alexandria. Energies are from GGA-PBE.

Lattice parameters (Å, degrees): 3.481 4.348 7.584 90.00 90.00 90.00
Fractional coordinates of all 12 atoms:
Hf: 0.000 0.000 0.000
Be: 0.000 0.000 0.344
Be: 0.000 0.500 0.815
Be: 0.000 0.500 0.185
Be: 0.000 0.000 0.656
Be: 0.500 0.000 0.500
Be: 0.500 0.500 0.000
Be: 0.500 0.249 0.257
Be: 0.500 0.751 0.743
Be: 0.500 0.751 0.257
Be: 0.500 0.249 0.743
Rh: 0.000 0.500 0.500

Summary:
uncorrected energy: -0.350 Ry/atom
formation energy from the elements: -251 kJ/mol of formula units
M_tot: 0.0 μB/f.u.
V: 114.8 Å³/f.u.
symmetry: No. 47



Here is a geometry-optimized Cs5RbAu4 structure from Alexandria. Energies are from GGA-PBE.

Lattice parameters (Å, degrees): 5.185 10.425 11.516 101.72 103.01 90.00
Fractional coordinates of all 10 atoms:
Cs: 0.161 0.319 0.322
Cs: 0.167 0.849 0.334
Cs: 0.833 0.151 0.666
Cs: 0.500 0.500 0.000
Cs: 0.839 0.681 0.678
Rb: 0.500 0.000 0.000
Au: 0.665 0.084 0.330
Au: 0.997 0.250 0.995
Au: 0.335 0.916 0.670
Au: 0.003 0.750 0.005

Summary:
uncorrected energy: -0.153 Ry/atom
formation energy from the elements: -242 kJ/mol of formula units
M_tot: 0.0 μB/f.u.
V: 593.1 Å³/f.u.
symmetry: No. 12